VASP calculation (PBE) on an optimized crystal structure of CoAgPb2.

abc: 4.646 4.646 17.923
angles: 90.00 90.00 90.00
Space group I-42d (No. 122)
Asymmetric unit:
Co: 0.000 0.000 0.000 [4 per cell]
Ag: 0.000 0.000 0.500 [4 per cell]
Pb: 0.228 0.250 0.125 [8 per cell]

Offset from the most stable computed form ... 100 kJ/mol of formula units
Calculated total energy ... -3.76 eV/atom